Entry 1:
Computed, not measured: a geometry-optimized Ba2NaInPt structure at the PBE-GGA level of DFT.

Unit cell a=6.244 b=6.244 c=5.286 alpha=90.00 beta=90.00 gamma=90.00
Positions (direct):
Ba (0.500, 0.000, 0.000)
Ba (0.000, 0.500, 0.000)
Pt (0.000, 0.000, 0.000)
Na (0.500, 0.500, 0.500)
In (0.000, 0.000, 0.500)

Properties
formation enthalpy at 0 K: -0.4132 eV/atom
SG: P4/mmm (123)
D(E_F): 4.93 states/eV/f.u.
M_tot: 0.00 μB/cell

Entry 2:
Computed, not measured: a geometry-optimized BaNaInPt2 structure at the PBE-GGA level of DFT.

Unit cell a=5.195 b=5.037 c=5.195 alpha=90.00 beta=90.00 gamma=90.00
Positions (direct):
In (0.000, 0.500, 0.000)
Pt (0.500, 0.000, 0.000)
Na (0.000, 0.000, 0.000)
Ba (0.500, 0.500, 0.500)
Pt (0.000, 0.000, 0.500)

Properties
formation enthalpy at 0 K: 0.2563 eV/atom
SG: P4/mmm (123)
D(E_F): 2.17 states/eV/f.u.
M_tot: 0.00 μB/cell

Entry 3:
Computed, not measured: a geometry-optimized Ba2NaInPt structure at the PBE-GGA level of DFT.

Unit cell a=6.115 b=6.115 c=5.486 alpha=90.00 beta=90.00 gamma=90.00
Positions (direct):
Pt (0.000, 0.000, 0.000)
Ba (0.500, 0.000, 0.000)
In (0.500, 0.500, 0.500)
Ba (0.000, 0.500, 0.000)
Na (0.000, 0.000, 0.500)

Properties
formation enthalpy at 0 K: -0.2976 eV/atom
SG: P4/mmm (123)
D(E_F): 4.52 states/eV/f.u.
M_tot: 0.00 μB/cell

Entry 4:
Computed, not measured: a geometry-optimized Ba2NaIn12Pt3 structure at the PBE-GGA level of DFT.

Unit cell a=8.784 b=8.784 c=8.784 alpha=69.76 beta=69.76 gamma=69.76
Positions (direct):
In (0.716, 0.112, 0.716)
Pt (0.000, 0.500, 0.000)
In (0.112, 0.716, 0.716)
Na (0.000, 0.000, 0.000)
In (0.617, 0.144, 0.144)
In (0.856, 0.383, 0.856)
Pt (0.000, 0.000, 0.500)
In (0.716, 0.716, 0.112)
Pt (0.500, 0.000, 0.000)
In (0.144, 0.617, 0.144)
Ba (0.407, 0.407, 0.407)
In (0.144, 0.144, 0.617)
In (0.284, 0.284, 0.888)
In (0.888, 0.284, 0.284)
Ba (0.593, 0.593, 0.593)
In (0.284, 0.888, 0.284)
In (0.383, 0.856, 0.856)
In (0.856, 0.856, 0.383)

Properties
formation enthalpy at 0 K: -0.1520 eV/atom
SG: R-3m (166)
D(E_F): 12.19 states/eV/f.u.
M_tot: 0.00 μB/cell